No. 1
The following is a PBE calculation of a relaxed structure of SrSi2Au6, from Alexandria.

Computed properties:
Space group: P4/mmm
DFT total energy (eV for the cell shown): -33.760
M_tot (μB per cell): 0.00
Energy relative to the elements, uncorrected (eV/atom): -0.17

```
data_SrSi2Au6
_chemical_formula_sum 'Sr1 Si2 Au6'
_cell_length_a 4.851
_cell_length_b 4.851
_cell_length_c 9.929
_cell_angle_alpha 90.00
_cell_angle_beta 90.00
_cell_angle_gamma 90.00
_symmetry_space_group_name_H-M 'P 1'
_symmetry_Int_Tables_number 1
_symmetry_space_group_name_Hall 'P 1'
loop_
_atom_site_label
_atom_site_type_symbol
_atom_site_fract_x
_atom_site_fract_y
_atom_site_fract_z
Sr1 Sr 0.000 0.000 0.000
Si1 Si 0.500 0.500 0.260
Si2 Si 0.500 0.500 0.740
Au1 Au 0.000 0.500 0.212
Au2 Au 0.000 0.500 0.788
Au3 Au 0.500 0.000 0.212
Au4 Au 0.500 0.000 0.788
Au5 Au 0.500 0.500 0.000
Au6 Au 0.500 0.500 0.500
```

No. 2
The following is a PBE calculation of a relaxed structure of SrSiAu2, from Alexandria.

Computed properties:
Space group: F-43m
DFT total energy (eV for the cell shown): -14.174
M_tot (μB per cell): 0.00
Energy relative to the elements, uncorrected (eV/atom): -0.13

```
data_SrSiAu2
_chemical_formula_sum 'Sr1 Si1 Au2'
_cell_length_a 4.959
_cell_length_b 4.959
_cell_length_c 4.959
_cell_angle_alpha 60.00
_cell_angle_beta 60.00
_cell_angle_gamma 60.00
_symmetry_space_group_name_H-M 'P 1'
_symmetry_Int_Tables_number 1
_symmetry_space_group_name_Hall 'P 1'
loop_
_atom_site_label
_atom_site_type_symbol
_atom_site_fract_x
_atom_site_fract_y
_atom_site_fract_z
Sr1 Sr 0.000 0.000 0.000
Si1 Si 0.750 0.750 0.750
Au1 Au 0.250 0.250 0.250
Au2 Au 0.500 0.500 0.500
```

No. 3
The following is a PBE calculation of a relaxed structure of SrSiAu, from Alexandria.

Computed properties:
Space group: I4mm
DFT total energy (eV for the cell shown): -11.065
M_tot (μB per cell): 0.00
Energy relative to the elements, uncorrected (eV/atom): -0.23

```
data_SrSiAu
_chemical_formula_sum 'Sr1 Si1 Au1'
_cell_length_a 6.091
_cell_length_b 6.091
_cell_length_c 6.091
_cell_angle_alpha 145.87
_cell_angle_beta 145.87
_cell_angle_gamma 49.04
_symmetry_space_group_name_H-M 'P 1'
_symmetry_Int_Tables_number 1
_symmetry_space_group_name_Hall 'P 1'
loop_
_atom_site_label
_atom_site_type_symbol
_atom_site_fract_x
_atom_site_fract_y
_atom_site_fract_z
Sr1 Sr 0.000 0.000 0.000
Si1 Si 0.709 0.709 0.000
Au1 Au 0.292 0.292 0.000
```

No. 4
The following is a PBE calculation of a relaxed structure of SrSiAu2, from Alexandria.

Computed properties:
Space group: I-42d
DFT total energy (eV for the cell shown): -30.852
M_tot (μB per cell): 0.00
Energy relative to the elements, uncorrected (eV/atom): -0.44

```
data_SrSiAu2
_chemical_formula_sum 'Sr2 Si2 Au4'
_cell_length_a 8.796
_cell_length_b 8.796
_cell_length_c 8.796
_cell_angle_alpha 144.95
_cell_angle_beta 144.95
_cell_angle_gamma 50.41
_symmetry_space_group_name_H-M 'P 1'
_symmetry_Int_Tables_number 1
_symmetry_space_group_name_Hall 'P 1'
loop_
_atom_site_label
_atom_site_type_symbol
_atom_site_fract_x
_atom_site_fract_y
_atom_site_fract_z
Sr1 Sr 0.000 0.000 0.000
Sr2 Sr 0.750 0.250 0.500
Si1 Si 0.250 0.750 0.500
Si2 Si 0.500 0.500 0.000
Au1 Au 0.278 0.625 0.153
Au2 Au 0.375 0.528 0.653
Au3 Au 0.472 0.125 0.847
Au4 Au 0.875 0.722 0.347
```

No. 5
The following is a PBE calculation of a relaxed structure of Sr2SiAu, from Alexandria.

Computed properties:
Space group: P4/mmm
DFT total energy (eV for the cell shown): -13.938
M_tot (μB per cell): 0.00
Energy relative to the elements, uncorrected (eV/atom): -0.47

```
data_Sr2SiAu
_chemical_formula_sum 'Sr2 Si1 Au1'
_cell_length_a 3.710
_cell_length_b 3.710
_cell_length_c 8.096
_cell_angle_alpha 90.00
_cell_angle_beta 90.00
_cell_angle_gamma 90.00
_symmetry_space_group_name_H-M 'P 1'
_symmetry_Int_Tables_number 1
_symmetry_space_group_name_Hall 'P 1'
loop_
_atom_site_label
_atom_site_type_symbol
_atom_site_fract_x
_atom_site_fract_y
_atom_site_fract_z
Sr1 Sr 0.000 0.000 0.247
Sr2 Sr 0.000 0.000 0.753
Si1 Si 0.500 0.500 0.000
Au1 Au 0.500 0.500 0.500
```

No. 6
The following is a PBE calculation of a relaxed structure of Sr2Si3Au6, from Alexandria.

Computed properties:
Space group: P-62m
DFT total energy (eV for the cell shown): -44.602
M_tot (μB per cell): 0.00
Energy relative to the elements, uncorrected (eV/atom): -0.48

```
data_Sr2Si3Au6
_chemical_formula_sum 'Sr2 Si3 Au6'
_cell_length_a 7.757
_cell_length_b 7.757
_cell_length_c 4.519
_cell_angle_alpha 90.00
_cell_angle_beta 90.00
_cell_angle_gamma 120.00
_symmetry_space_group_name_H-M 'P 1'
_symmetry_Int_Tables_number 1
_symmetry_space_group_name_Hall 'P 1'
loop_
_atom_site_label
_atom_site_type_symbol
_atom_site_fract_x
_atom_site_fract_y
_atom_site_fract_z
Sr1 Sr 0.333 0.667 0.000
Sr2 Sr 0.667 0.333 0.000
Si1 Si 0.000 0.345 0.500
Si2 Si 0.345 0.000 0.500
Si3 Si 0.655 0.655 0.500
Au1 Au 0.000 0.215 0.000
Au2 Au 0.000 0.668 0.500
Au3 Au 0.215 0.000 0.000
Au4 Au 0.332 0.332 0.500
Au5 Au 0.668 0.000 0.500
Au6 Au 0.785 0.785 0.000
```